This record from the Alexandria database describes a relaxed CaY4Al5 crystal. The functional is PBE-GGA.

Cell lengths 3.6004, 3.6004, 18.3781 Å; angles 90.00, 90.00, 90.00 degrees
Last column: nearest neighbours and their distance in Å.
Fractional positions:
Ca 0.0000 0.0000 0.0000  8 Al 3.19
Y 0.0000 0.0000 0.2033  8 Al 3.13
Y 0.0000 0.0000 0.4017  8 Al 3.12-3.13
Y 0.0000 0.0000 0.5983  8 Al 3.12-3.13
Y 0.0000 0.0000 0.7967  8 Al 3.13
Al 0.5000 0.5000 0.1047  4 Y 3.13, 4 Ca 3.19
Al 0.5000 0.5000 0.3026  8 Y 3.13
Al 0.5000 0.5000 0.5000  8 Y 3.12
Al 0.5000 0.5000 0.6974  8 Y 3.13
Al 0.5000 0.5000 0.8953  4 Y 3.13, 4 Ca 3.19

Computed properties:
total DFT energy (no corrections): -5.03 eV per atom
ΔE_f: -0.37 eV per atom


This record from the Alexandria database describes a relaxed Pm2YEr6 crystal. The functional is PBE-GGA.

Cell lengths 3.4634, 9.7133, 10.3224 Å; angles 118.07, 70.34, 90.00 degrees
Last column: nearest neighbours and their distance in Å.
Fractional positions:
Pm 0.3334 0.3333 0.6665  2 Pm 3.46, 12 Er 3.68
Pm 0.6666 0.6667 0.3335  2 Pm 3.46, 12 Er 3.68
Y 0.0000 0.0000 0.0000  2 Y 3.46, 12 Er 3.66-3.67
Er 0.8310 0.0000 0.6679  5 Er 3.23-3.46
Er 0.1690 0.3321 0.3321  5 Er 3.23-3.46
Er 0.1690 0.0000 0.3321  5 Er 3.23-3.46
Er 0.5000 0.3324 0.0000  5 Er 3.23-3.46
Er 0.8310 0.6679 0.6679  5 Er 3.23-3.46
Er 0.5000 0.6676 0.0000  5 Er 3.23-3.46

Computed properties:
total DFT energy (no corrections): -4.74 eV per atom
E above lowest polymorph: 0 meV per atom
ΔE_f: 0.07 eV per atom


This record from the Alexandria database describes a relaxed Cr2CuSi crystal. The functional is PBE-GGA.

Cell lengths 2.4973, 2.4973, 7.7187 Å; angles 90.00, 90.00, 100.90 degrees
Last column: nearest neighbours and their distance in Å.
Fractional positions:
Cr 0.0000 0.0000 0.9898  4 Si 2.44-2.67, 4 Cr 2.50, 2 Cu 2.56
Cr 0.0000 0.0000 0.5102  4 Si 2.44-2.67, 4 Cr 2.50, 2 Cu 2.56
Cu 0.5000 0.5000 0.2500  4 Cu 2.50, 8 Cr 2.56-2.78
Si 0.5000 0.5000 0.7500  8 Cr 2.44-2.67, 4 Si 2.50

Computed properties:
total DFT energy (no corrections): -7.08 eV per atom
formation energy from raw total energies: 0.110 eV per atom


Number 1: D(E_F) 0.42 states/eV/atom, magnetic moment 0.000 μB per formula unit. Number 2: D(E_F) 1.63 states/eV/atom, magnetic moment 0.002 μB per formula unit. Number 3: D(E_F) 0.83 states/eV/atom, magnetic moment 0.001 μB per formula unit.